# 1
Entry from Alexandria via LeMat-Bulk: a relaxed Ca4AuN crystal (PBE).

Output
* uncorrected energy: -21.71 eV for the cell shown
* DOS(E_F): 0.503 states/eV per atom
* E_form (uncorrected): -350 meV per atom

```
Ca4AuN
1.0
4.638 0.000 0.000
0.000 4.638 0.000
0.000 0.000 6.887
Ca Au N
4 1 1
Direct
0.000 0.500 0.220 Ca
0.000 0.500 0.780 Ca
0.500 0.000 0.220 Ca
0.500 0.000 0.780 Ca
0.000 0.000 0.500 Au
0.500 0.500 0.000 N
```


# 2
Entry from Alexandria via LeMat-Bulk: a relaxed Ba3BiAs2Au6 crystal (PBE).

Output
* energy of formation from the pure elements: -0.465 eV/atom
* uncorrected energy: -44.19 eV for the cell shown
* DOS(E_F): 0.682 states/eV per atom

```
Ba3BiAs2Au6
1.0
6.919 0.000 0.000
-3.459 5.992 0.000
0.000 0.000 8.621
Ba Bi As Au
3 1 2 6
Direct
0.000 0.000 0.000 Ba
0.333 0.667 0.661 Ba
0.667 0.333 0.339 Ba
0.000 0.000 0.500 Bi
0.333 0.667 0.074 As
0.667 0.333 0.926 As
0.185 0.369 0.286 Au
0.185 0.815 0.286 Au
0.369 0.185 0.714 Au
0.631 0.815 0.286 Au
0.815 0.185 0.714 Au
0.815 0.631 0.714 Au
```